An optimized crystal structure of FeCo2Cl, computed with PBE-GGA.

Calculated values
raw formation energy: 0.2926 eV per atom
SG: P4mm
ΔE to the lowest computed polymorph: 59.2 kJ/mol of formula units
N(E_F): 2.585 states/eV/f.u.

Geometry as extended XYZ:
```
4
Lattice="2.959 0.000 0.000 0.000 2.959 0.000 0.000 0.000 6.480" Properties=species:S:1:pos:R:3 pbc="T T T"
Fe 0.000 0.000 3.045
Cl 1.479 1.479 4.616
Co 0.000 0.000 0.489
Co 1.479 1.479 1.571
```

An optimized crystal structure of FeCoCl3, computed with PBE-GGA.

Calculated values
raw formation energy: 0.2165 eV per atom
SG: Pm-3m
N(E_F): 23.728 states/eV/f.u.

Geometry as extended XYZ:
```
5
Lattice="4.798 0.000 0.000 0.000 4.798 0.000 0.000 0.000 4.798" Properties=species:S:1:pos:R:3 pbc="T T T"
Co 2.399 2.399 2.399
Cl 2.399 0.000 0.000
Cl 0.000 2.399 0.000
Cl 0.000 0.000 2.399
Fe 0.000 0.000 0.000
```

An optimized crystal structure of Fe2CoCl, computed with PBE-GGA.

Calculated values
raw formation energy: 0.1658 eV per atom
SG: Pm
ΔE to the lowest computed polymorph: 10.5 kJ/mol of formula units
N(E_F): 3.658 states/eV/f.u.

Geometry as extended XYZ:
```
4
Lattice="2.939 0.000 0.000 0.000 3.052 -0.020 0.000 0.042 6.521" Properties=species:S:1:pos:R:3 pbc="T T T"
Fe 1.469 1.536 1.304
Fe 0.000 0.043 6.470
Cl 0.000 1.543 3.253
Co 1.469 1.561 5.244
```

An optimized crystal structure of FeCo2Cl, computed with PBE-GGA.

Calculated values
raw formation energy: 0.7064 eV per atom
SG: F-43m
ΔE to the lowest computed polymorph: 218.9 kJ/mol of formula units
N(E_F): 5.066 states/eV/f.u.

Geometry as extended XYZ:
```
4
Lattice="4.164 0.000 0.000 2.082 3.606 0.000 2.082 1.202 3.400" Properties=species:S:1:pos:R:3 pbc="T T T"
Cl 4.164 2.404 1.700
Co 2.082 1.202 0.850
Co 0.000 0.000 0.000
Fe 6.246 3.606 2.550
```